ZrNbAl2S after structural relaxation, computed with GGA-PBE.

- Spin magnetization: 0.00 μB/f.u.
- E_form (uncorrected): 22 kJ per mole of atoms
- Symmetry: P4/mmm

Cell: 4.5583 4.7275 4.5583 Å, 90.00 90.00 90.00°
Sites, in units of the cell vectors:
Zr1 0.0000 0.5000 0.0000
S1 0.0000 0.0000 0.0000
Al1 0.5000 0.0000 0.0000
Nb1 0.5000 0.5000 0.5000
Al2 0.0000 0.0000 0.5000

***

K3LiSi after structural relaxation, computed with GGA-PBE.

- Spin magnetization: 2.00 μB/f.u.
- E_form (uncorrected): 40 kJ per mole of atoms
- Symmetry: Pm-3m
- Excess energy over the best structure of this formula in the dataset: 0.000 eV/atom

Cell: 6.5585 6.5585 6.5585 Å, 90.00 90.00 90.00°
Each line ends with the local moment (μB).
Sites, in units of the cell vectors:
K1 0.0000 0.5000 0.0000  0.02
Li1 0.5000 0.5000 0.5000  0.02
K2 0.0000 0.0000 0.5000  0.03
Si1 0.0000 0.0000 0.0000  0.41
K3 0.5000 0.0000 0.0000  0.02